# RbNiPb3 (SCAN, single point on PBEsol structure)
data_RbNiPb3
_cell_length_a 5.242
_cell_length_b 5.242
_cell_length_c 5.242
_cell_angle_alpha 90.00
_cell_angle_beta 90.00
_cell_angle_gamma 90.00
_symmetry_space_group_name_H-M 'P m -3 m'
_symmetry_Int_Tables_number 221
_symmetry_space_group_name_Hall '-P 4 2 3'
loop_
_atom_site_label
_atom_site_fract_x
_atom_site_fract_y
_atom_site_fract_z
_atom_site_occupancy
Rb1 0.000 0.000 0.000 1
Ni1 0.500 0.500 0.500 1
Pb1 0.000 0.500 0.500 1
# ΔH_f (0 K)	0.060	eV per atom

---

# Er8Ga3Co (SCAN, single point on PBEsol structure)
data_Er8Ga3Co
_cell_length_a 9.7665
_cell_length_b 9.7665
_cell_length_c 6.7083
_cell_angle_alpha 90.00
_cell_angle_beta 90.00
_cell_angle_gamma 120.00
_symmetry_space_group_name_H-M 'P 63 m c'
_symmetry_Int_Tables_number 186
_symmetry_space_group_name_Hall 'P 6c -2c'
loop_
_atom_site_label
_atom_site_fract_x
_atom_site_fract_y
_atom_site_fract_z
_atom_site_occupancy
Er1 0.0000 0.0000 0.0000 1
Er2 0.0709 0.5355 0.0215 1
Er3 0.1730 0.3459 0.7212 1
Er4 0.3333 0.6667 0.4007 1
Ga1 0.1635 0.3270 0.2688 1
Co1 0.3333 0.6667 0.7883 1
# ΔH_f (0 K)	-0.479	eV per atom

---

# Ag2GeBi2 (SCAN, single point on PBEsol structure)
data_Ag2GeBi2
_cell_length_a 4.445
_cell_length_b 4.445
_cell_length_c 12.960
_cell_angle_alpha 90.00
_cell_angle_beta 90.00
_cell_angle_gamma 90.00
_symmetry_space_group_name_H-M 'I 4/m m m'
_symmetry_Int_Tables_number 139
_symmetry_space_group_name_Hall '-I 4 2'
loop_
_atom_site_label
_atom_site_fract_x
_atom_site_fract_y
_atom_site_fract_z
_atom_site_occupancy
Ag1 0.000 0.000 0.099 1
Ge1 0.000 0.000 0.500 1
Bi1 0.000 0.500 0.250 1
# ΔH_f (0 K)	0.529	eV per atom

---

# Y2RhAu (SCAN, single point on PBEsol structure)
data_Y2RhAu
_cell_length_a 3.928
_cell_length_b 3.928
_cell_length_c 5.868
_cell_angle_alpha 90.00
_cell_angle_beta 90.00
_cell_angle_gamma 90.00
_symmetry_space_group_name_H-M 'P 4 m m'
_symmetry_Int_Tables_number 99
_symmetry_space_group_name_Hall 'P 4 -2'
loop_
_atom_site_label
_atom_site_fract_x
_atom_site_fract_y
_atom_site_fract_z
_atom_site_occupancy
Y1 0.000 0.000 0.000 1
Y2 0.500 0.500 0.394 1
Rh1 0.500 0.500 0.914 1
Au1 0.000 0.000 0.519 1
# ΔH_f (0 K)	-0.814	eV per atom

---

# La2YMo (SCAN, single point on PBEsol structure)
data_La2YMo
_cell_length_a 3.527
_cell_length_b 3.527
_cell_length_c 8.595
_cell_angle_alpha 90.00
_cell_angle_beta 90.00
_cell_angle_gamma 90.00
_symmetry_space_group_name_H-M 'P 4 m m'
_symmetry_Int_Tables_number 99
_symmetry_space_group_name_Hall 'P 4 -2'
loop_
_atom_site_label
_atom_site_fract_x
_atom_site_fract_y
_atom_site_fract_z
_atom_site_occupancy
La1 0.000 0.000 0.000 1
La2 0.500 0.500 0.283 1
Y1 0.000 0.000 0.608 1
Mo1 0.500 0.500 0.811 1
# offset from the most stable computed form	0.00	eV/f.u.
# ΔH_f (0 K)	0.338	eV per atom

---

# Sr2MgCo (SCAN, single point on PBEsol structure)
data_Sr2MgCo
_cell_length_a 3.644
_cell_length_b 3.644
_cell_length_c 8.499
_cell_angle_alpha 90.00
_cell_angle_beta 90.00
_cell_angle_gamma 90.00
_symmetry_space_group_name_H-M 'P 4/m m m'
_symmetry_Int_Tables_number 123
_symmetry_space_group_name_Hall '-P 4 2'
loop_
_atom_site_label
_atom_site_fract_x
_atom_site_fract_y
_atom_site_fract_z
_atom_site_occupancy
Sr1 0.000 0.000 0.202 1
Mg1 0.500 0.500 0.500 1
Co1 0.500 0.500 0.000 1
# ΔH_f (0 K)	0.274	eV per atom

---

- Look up the ΔH_f (0 K) of the first one.
  0.060 eV per atom

---

- ΔH_f (0 K) of number 6 (Sr2MgCo)?
  0.274 eV per atom

---

- ΔH_f (0 K) of number 1 (RbNiPb3)?
  0.060 eV per atom